1.
Pr3Er (meta-GGA SCAN, PBEsol geometry); calculated volume = 129.7 Å³/cell; energy of formation from the pure elements = 0.0121 eV/atom; ΔE to the lowest computed polymorph = 0 meV/atom
1.0
-0.917 -0.463 -4.957
4.197 -2.783 -0.516
-2.678 -4.203 0.888
Pr Er
3 1
Cartesian
1.640 -1.623 -2.737
-1.798 -2.333 -2.034
0.760 -3.493 0.186
0.000 0.000 0.000



2.
MnInGa3 (meta-GGA SCAN, PBEsol geometry); calculated volume = 99.8 Å³/cell; energy of formation from the pure elements = 0.1359 eV/atom
1.0
-3.596 -2.847 0.696
0.991 -0.146 4.529
-2.758 3.659 0.721
Ga Mn In
3 1 1
Cartesian
0.496 -0.073 2.265
-1.379 1.830 0.361
-1.798 -1.424 0.348
0.000 0.000 0.000
-2.681 0.333 2.973



3.
Na3AsPt (meta-GGA SCAN, PBEsol geometry); calculated volume = 150.1 Å³/cell; energy of formation from the pure elements = 0.4496 eV/atom
1.0
-5.290 0.210 0.458
0.307 -2.487 4.686
0.400 4.692 2.464
Pt Na As
1 3 1
Cartesian
-2.292 1.207 3.804
0.200 2.346 1.232
0.153 -1.244 2.343
-2.645 0.105 0.229
0.000 0.000 0.000



4.
Sb (meta-GGA SCAN, PBEsol geometry); calculated volume = 28.7 Å³/cell; ΔE to the lowest computed polymorph = 15 meV/atom
1.0
-0.005 0.418 3.033
-2.729 -1.375 0.184
1.387 -2.704 0.375
Sb
1
Cartesian
0.000 0.000 0.000



5.
MgIrSe2N (meta-GGA SCAN, PBEsol geometry); calculated volume = 95.6 Å³/cell; ΔE to the lowest computed polymorph = 0 meV/atom
1.0
3.633 0.000 0.000
0.000 5.131 0.000
0.000 0.000 5.131
Se Ir N Mg
2 1 1 1
Cartesian
0.000 2.566 0.000
0.000 0.000 2.566
0.000 0.000 0.000
1.816 0.000 0.000
1.816 2.566 2.566



6.
AlAuSCl2 (meta-GGA SCAN, PBEsol geometry); calculated volume = 115.1 Å³/cell; DFT total energy = -0.7487 hartree per atom
1.0
4.846 0.000 0.000
0.000 4.846 0.000
0.000 0.000 4.902
Al Au S Cl
1 1 1 2
Cartesian
2.423 2.423 2.451
0.000 0.000 0.000
0.000 0.000 2.451
0.000 2.423 0.000
2.423 0.000 0.000



7.
CrRu2 (meta-GGA SCAN, PBEsol geometry); calculated volume = 76.0 Å³/cell; energy of formation from the pure elements = 0.0543 eV/atom
1.0
2.650 0.000 0.000
-1.325 4.767 0.004
0.000 -1.527 6.014
Ru Cr
4 2
Cartesian
0.000 2.734 2.838
1.325 0.506 3.179
0.000 1.650 5.219
1.325 1.590 0.798
1.325 4.152 1.188
0.000 -0.911 4.830



8.
Pr2Au (meta-GGA SCAN, PBEsol geometry); calculated volume = 337.8 Å³/cell; energy of formation from the pure elements = -0.7644 eV/atom
1.0
-5.013 -0.057 -0.475
-0.282 -6.207 3.720
-0.803 4.771 7.900
Pr Au
8 4
Cartesian
-3.926 -1.777 1.609
-4.330 -3.317 6.058
-1.655 -1.612 4.312
-1.397 0.797 1.302
-4.701 -2.290 9.843
-1.768 1.823 5.086
-2.172 0.283 9.535
-4.443 0.119 6.833
-1.940 -1.781 7.344
-4.157 0.288 3.801
-2.048 2.800 7.930
-4.050 -4.293 3.214